## one
# RbGe3Sb, optimized geometry, DFT PBE-GGA
data_RbGe3Sb
_chemical_formula_sum 'Rb1 Ge3 Sb1'
_space_group_name_H-M_alt 'P 1'
_space_group_IT_number 1
_cell_length_a 5.597
_cell_length_b 5.597
_cell_length_c 5.597
_cell_angle_alpha 90.00
_cell_angle_beta 90.00
_cell_angle_gamma 90.00
loop_
_space_group_symop_operation_xyz
'x,y,z'
loop_
_atom_site_label
_atom_site_fract_x
_atom_site_fract_y
_atom_site_fract_z
Sb1 0.500 0.500 0.500
Ge1 0.500 0.000 0.000
Ge2 0.000 0.000 0.500
Ge3 0.000 0.500 0.000
Rb1 0.000 0.000 0.000
# symmetry	Pm-3m (221)
# density	4.03	g cm⁻³

## two
# RbGe3Sb, optimized geometry, DFT PBE-GGA
data_RbGe3Sb
_chemical_formula_sum 'Rb1 Ge3 Sb1'
_space_group_name_H-M_alt 'P 1'
_space_group_IT_number 1
_cell_length_a 5.540
_cell_length_b 5.540
_cell_length_c 5.540
_cell_angle_alpha 90.00
_cell_angle_beta 90.00
_cell_angle_gamma 90.00
loop_
_space_group_symop_operation_xyz
'x,y,z'
loop_
_atom_site_label
_atom_site_fract_x
_atom_site_fract_y
_atom_site_fract_z
Sb1 0.000 0.000 0.000
Ge1 0.000 0.000 0.500
Ge2 0.000 0.500 0.000
Ge3 0.500 0.000 0.000
Rb1 0.500 0.500 0.500
# symmetry	Pm-3m (221)
# density	4.15	g cm⁻³

Each structure's energy above the most stable one, in kJ/mol of atoms: one 106.8; two 0.0.

## one
# Rb3GeSb, optimized geometry, DFT PBE-GGA
data_Rb3GeSb
_chemical_formula_sum 'Rb3 Ge1 Sb1'
_space_group_name_H-M_alt 'P 1'
_space_group_IT_number 1
_cell_length_a 7.002
_cell_length_b 7.002
_cell_length_c 7.002
_cell_angle_alpha 90.00
_cell_angle_beta 90.00
_cell_angle_gamma 90.00
loop_
_space_group_symop_operation_xyz
'x,y,z'
loop_
_atom_site_label
_atom_site_fract_x
_atom_site_fract_y
_atom_site_fract_z
Rb1 0.000 0.500 0.000
Sb1 0.000 0.000 0.000
Rb2 0.500 0.000 0.000
Ge1 0.500 0.500 0.500
Rb3 0.000 0.000 0.500
# symmetry	Pm-3m (221)
# density	2.18	g cm⁻³

## two
# Rb3GeSb, optimized geometry, DFT PBE-GGA
data_Rb3GeSb
_chemical_formula_sum 'Rb6 Ge2 Sb2'
_space_group_name_H-M_alt 'P 1'
_space_group_IT_number 1
_cell_length_a 4.257
_cell_length_b 11.395
_cell_length_c 10.636
_cell_angle_alpha 113.52
_cell_angle_beta 89.95
_cell_angle_gamma 111.87
loop_
_space_group_symop_operation_xyz
'x,y,z'
loop_
_atom_site_label
_atom_site_fract_x
_atom_site_fract_y
_atom_site_fract_z
Sb1 0.615 0.922 0.394
Rb1 0.946 0.252 0.314
Rb2 0.209 0.514 0.016
Ge1 0.799 0.602 0.777
Rb3 0.836 0.641 0.406
Sb2 0.428 0.233 0.027
Rb4 0.403 0.211 0.651
Ge2 0.248 0.551 0.644
Rb5 0.639 0.943 0.771
Rb6 0.096 0.902 0.107
# symmetry	P1 (1)
# density	3.46	g cm⁻³

Each structure's energy above the most stable one, in kJ/mol of atoms: one 47.7; two 0.0.

## one
# Rb3GeSb2, optimized geometry, DFT PBE-GGA
data_Rb3GeSb2
_chemical_formula_sum 'Rb12 Ge4 Sb8'
_space_group_name_H-M_alt 'P 1'
_space_group_IT_number 1
_cell_length_a 5.130
_cell_length_b 14.816
_cell_length_c 13.988
_cell_angle_alpha 90.00
_cell_angle_beta 90.00
_cell_angle_gamma 90.00
loop_
_space_group_symop_operation_xyz
'x,y,z'
loop_
_atom_site_label
_atom_site_fract_x
_atom_site_fract_y
_atom_site_fract_z
Rb1 0.250 0.061 0.883
Sb1 0.250 0.683 0.428
Ge1 0.750 0.635 0.357
Sb2 0.250 0.027 0.291
Sb3 0.250 0.473 0.791
Rb2 0.750 0.561 0.617
Ge2 0.250 0.365 0.643
Sb4 0.750 0.973 0.709
Rb3 0.750 0.888 0.422
Rb4 0.750 0.198 0.330
Rb5 0.250 0.698 0.170
Rb6 0.750 0.939 0.117
Rb7 0.250 0.439 0.383
Sb5 0.750 0.317 0.572
Rb8 0.250 0.802 0.670
Rb9 0.750 0.302 0.830
Sb6 0.750 0.527 0.209
Ge3 0.250 0.135 0.143
Rb10 0.750 0.612 0.922
Rb11 0.250 0.112 0.578
Rb12 0.250 0.388 0.078
Ge4 0.750 0.865 0.857
Sb7 0.750 0.183 0.072
Sb8 0.250 0.817 0.928
# symmetry	Pnma (62)
# density	3.58	g cm⁻³

## two
# Rb3GeSb2, optimized geometry, DFT PBE-GGA
data_Rb3GeSb2
_chemical_formula_sum 'Rb6 Ge2 Sb4'
_space_group_name_H-M_alt 'P 1'
_space_group_IT_number 1
_cell_length_a 5.099
_cell_length_b 10.076
_cell_length_c 12.672
_cell_angle_alpha 70.91
_cell_angle_beta 78.39
_cell_angle_gamma 75.34
loop_
_space_group_symop_operation_xyz
'x,y,z'
loop_
_atom_site_label
_atom_site_fract_x
_atom_site_fract_y
_atom_site_fract_z
Sb1 0.867 0.490 0.777
Rb1 0.946 0.853 0.254
Sb2 0.133 0.510 0.223
Rb2 0.054 0.147 0.746
Rb3 0.223 0.160 0.395
Rb4 0.658 0.671 0.012
Ge1 0.426 0.493 0.654
Rb5 0.342 0.329 0.988
Rb6 0.777 0.840 0.605
Sb3 0.586 0.284 0.543
Ge2 0.574 0.507 0.346
Sb4 0.414 0.716 0.457
# symmetry	C2/m (12)
# density	3.22	g cm⁻³

Each structure's energy above the most stable one, in kJ/mol of atoms: one 0.0; two 11.7.

## one
# RbGeSbTe2, optimized geometry, DFT PBE-GGA
data_RbGeSbTe2
_chemical_formula_sum 'Rb1 Ge1 Sb1 Te2'
_space_group_name_H-M_alt 'P 1'
_space_group_IT_number 1
_cell_length_a 6.160
_cell_length_b 6.160
_cell_length_c 5.932
_cell_angle_alpha 90.00
_cell_angle_beta 90.00
_cell_angle_gamma 90.00
loop_
_space_group_symop_operation_xyz
'x,y,z'
loop_
_atom_site_label
_atom_site_fract_x
_atom_site_fract_y
_atom_site_fract_z
Te1 0.000 0.500 0.000
Rb1 0.000 0.000 0.000
Ge1 0.500 0.500 0.500
Te2 0.500 0.000 0.000
Sb1 0.000 0.000 0.500
# symmetry	P4/mmm (123)
# density	3.95	g cm⁻³

## two
# RbGeSbTe2, optimized geometry, DFT PBE-GGA
data_RbGeSbTe2
_chemical_formula_sum 'Rb1 Ge1 Sb1 Te2'
_space_group_name_H-M_alt 'P 1'
_space_group_IT_number 1
_cell_length_a 5.706
_cell_length_b 5.706
_cell_length_c 5.443
_cell_angle_alpha 90.00
_cell_angle_beta 90.00
_cell_angle_gamma 90.00
loop_
_space_group_symop_operation_xyz
'x,y,z'
loop_
_atom_site_label
_atom_site_fract_x
_atom_site_fract_y
_atom_site_fract_z
Te1 0.500 0.000 0.000
Rb1 0.500 0.500 0.500
Sb1 0.000 0.000 0.500
Te2 0.000 0.500 0.000
Ge1 0.000 0.000 0.000
# symmetry	P4/mmm (123)
# density	5.01	g cm⁻³

Each structure's energy above the most stable one, in kJ/mol of atoms: one 126.0; two 0.0.

## one
# RbGe2SbW, optimized geometry, DFT PBE-GGA
data_RbGe2SbW
_chemical_formula_sum 'Rb1 Ge2 Sb1 W1'
_space_group_name_H-M_alt 'P 1'
_space_group_IT_number 1
_cell_length_a 5.153
_cell_length_b 5.659
_cell_length_c 5.153
_cell_angle_alpha 90.00
_cell_angle_beta 90.00
_cell_angle_gamma 90.00
loop_
_space_group_symop_operation_xyz
'x,y,z'
loop_
_atom_site_label
_atom_site_fract_x
_atom_site_fract_y
_atom_site_fract_z
Ge1 0.000 0.000 0.500
W1 0.500 0.500 0.500
Ge2 0.500 0.000 0.000
Rb1 0.000 0.000 0.000
Sb1 0.000 0.500 0.000
# symmetry	P4/mmm (123)
# density	5.93	g cm⁻³

## two
# RbGe2SbW, optimized geometry, DFT PBE-GGA
data_RbGe2SbW
_chemical_formula_sum 'Rb1 Ge2 Sb1 W1'
_space_group_name_H-M_alt 'P 1'
_space_group_IT_number 1
_cell_length_a 5.005
_cell_length_b 6.463
_cell_length_c 5.005
_cell_angle_alpha 90.00
_cell_angle_beta 90.00
_cell_angle_gamma 90.00
loop_
_space_group_symop_operation_xyz
'x,y,z'
loop_
_atom_site_label
_atom_site_fract_x
_atom_site_fract_y
_atom_site_fract_z
W1 0.000 0.000 0.000
Ge1 0.000 0.000 0.500
Ge2 0.500 0.000 0.000
Sb1 0.500 0.500 0.500
Rb1 0.000 0.500 0.000
# symmetry	P4/mmm (123)
# density	5.50	g cm⁻³

Each structure's energy above the most stable one, in kJ/mol of atoms: one 176.9; two 0.0.

## one
# RbScGe2, optimized geometry, DFT PBE-GGA
data_RbScGe2
_chemical_formula_sum 'Rb2 Sc2 Ge4'
_space_group_name_H-M_alt 'P 1'
_space_group_IT_number 1
_cell_length_a 5.576
_cell_length_b 5.576
_cell_length_c 10.009
_cell_angle_alpha 73.83
_cell_angle_beta 73.83
_cell_angle_gamma 90.00
loop_
_space_group_symop_operation_xyz
'x,y,z'
loop_
_atom_site_label
_atom_site_fract_x
_atom_site_fract_y
_atom_site_fract_z
Rb1 0.750 0.250 0.500
Sc1 0.250 0.750 0.500
Ge1 0.357 0.625 0.250
Ge2 0.393 0.125 0.250
Ge3 0.875 0.643 0.750
Rb2 0.000 0.000 0.000
Ge4 0.375 0.607 0.750
Sc2 0.500 0.500 0.000
# symmetry	I-42d (122)
# density	3.20	g cm⁻³

## two
# RbScGe2, optimized geometry, DFT PBE-GGA
data_RbScGe2
_chemical_formula_sum 'Rb1 Sc1 Ge2'
_space_group_name_H-M_alt 'P 1'
_space_group_IT_number 1
_cell_length_a 5.206
_cell_length_b 5.206
_cell_length_c 5.206
_cell_angle_alpha 60.00
_cell_angle_beta 60.00
_cell_angle_gamma 60.00
loop_
_space_group_symop_operation_xyz
'x,y,z'
loop_
_atom_site_label
_atom_site_fract_x
_atom_site_fract_y
_atom_site_fract_z
Ge1 0.250 0.250 0.250
Sc1 0.000 0.000 0.000
Rb1 0.500 0.500 0.500
Ge2 0.750 0.750 0.750
# symmetry	Fm-3m (225)
# density	4.59	g cm⁻³

Each structure's energy above the most stable one, in kJ/mol of atoms: one 0.0; two 14.7.